DFT (PBE) results for an optimized crystal structure of La3U3NbN8.

## Properties
Formation energy without anion corrections   -1.275 eV/atom
Total magnetic moment   4.1 μB per cell
Density   9.2 g/cm3
DOS at the Fermi energy   0.8362 states/eV/atom

Cell and atoms, written as CIF:
```
data_La3U3NbN8
_symmetry_space_group_name_H-M 'R -3 m'
_symmetry_Int_Tables_number 166
_symmetry_space_group_name_Hall '-R 3 2"'
_cell_length_a 6.8552
_cell_length_b 6.8552
_cell_length_c 17.6903
_cell_angle_alpha 90.00
_cell_angle_beta 90.00
_cell_angle_gamma 120.00
loop_
_atom_site_label
_atom_site_type_symbol
_atom_site_fract_x
_atom_site_fract_y
_atom_site_fract_z
La1 La 0.0000 0.5000 0.0000
U1 U 0.0000 0.5000 0.5000
Nb1 Nb 0.0000 0.0000 0.5000
N1 N 0.0000 0.0000 0.2346
N2 N 0.0089 0.5044 0.2299
```

---

DFT (PBE) results for an optimized crystal structure of La4Ir2Cl.

## Properties
Formation energy without anion corrections   -1.024 eV/atom
Total magnetic moment   0.0 μB per cell
Density   7.3 g/cm3
DOS at the Fermi energy   0.5935 states/eV/atom

Cell and atoms, written as CIF:
```
data_La4Ir2Cl
_symmetry_space_group_name_H-M 'R -3 m'
_symmetry_Int_Tables_number 166
_symmetry_space_group_name_Hall '-R 3 2"'
_cell_length_a 4.2362
_cell_length_b 4.2362
_cell_length_c 42.9234
_cell_angle_alpha 90.00
_cell_angle_beta 90.00
_cell_angle_gamma 120.00
loop_
_atom_site_label
_atom_site_type_symbol
_atom_site_fract_x
_atom_site_fract_y
_atom_site_fract_z
La1 La 0.0000 0.0000 0.1230
La2 La 0.0000 0.0000 0.2809
Ir1 Ir 0.0000 0.0000 0.4215
Cl1 Cl 0.0000 0.0000 0.0000
```

---

DFT (PBE) results for an optimized crystal structure of GaAg.

## Properties
Total magnetic moment   0.0 μB per cell
E   -91.8 eV/cell
Density   7.8 g/cm3
DOS at the Fermi energy   0.3225 states/eV/atom

Cell and atoms, written as CIF:
```
data_GaAg
_symmetry_space_group_name_H-M 'F d d d'
_symmetry_Int_Tables_number 70
_cell_length_a 3.049
_cell_length_b 10.882
_cell_length_c 18.165
_cell_angle_alpha 90.00
_cell_angle_beta 90.00
_cell_angle_gamma 90.00
loop_
_symmetry_equiv_pos_as_xyz
'x,y,z'
'-x,-y,-z'
'-x+1/4,-y+1/4,z'
'x+1/4,y+1/4,-z'
'x,-y+1/4,-z+1/4'
'-x,y+1/4,z+1/4'
'-x+1/4,y,-z+1/4'
'x+1/4,-y,z+1/4'
'x,y+1/2,z+1/2'
'-x,-y+1/2,-z+1/2'
'-x+1/4,-y+3/4,z+1/2'
'x+1/4,y+3/4,-z+1/2'
'x,-y+3/4,-z+3/4'
'-x,y+3/4,z+3/4'
'-x+1/4,y+1/2,-z+3/4'
'x+1/4,-y+1/2,z+3/4'
'x+1/2,y,z+1/2'
'-x+1/2,-y,-z+1/2'
'-x+3/4,-y+1/4,z+1/2'
'x+3/4,y+1/4,-z+1/2'
'x+1/2,-y+1/4,-z+3/4'
'-x+1/2,y+1/4,z+3/4'
'-x+3/4,y,-z+3/4'
'x+3/4,-y,z+3/4'
'x+1/2,y+1/2,z'
'-x+1/2,-y+1/2,-z'
'-x+3/4,-y+3/4,z'
'x+3/4,y+3/4,-z'
'x+1/2,-y+3/4,-z+1/4'
'-x+1/2,y+3/4,z+1/4'
'-x+3/4,y+1/2,-z+1/4'
'x+3/4,-y+1/2,z+1/4'
loop_
_atom_site_label
_atom_site_type_symbol
_atom_site_fract_x
_atom_site_fract_y
_atom_site_fract_z
Ga1 Ga 0.125 0.259 0.125
Ag1 Ag 0.125 0.125 0.251
```

---

DFT (PBE) results for an optimized crystal structure of Rb2LiNiH4.

## Properties
Total magnetic moment   0.0 μB per cell
E   -194.1 eV/cell
Density   2.7 g/cm3
DOS at the Fermi energy   0.3048 states/eV/atom

Cell and atoms, written as CIF:
```
data_Rb2LiNiH4
_symmetry_space_group_name_H-M 'F d d d'
_symmetry_Int_Tables_number 70
_cell_length_a 4.886
_cell_length_b 10.920
_cell_length_c 22.377
_cell_angle_alpha 90.00
_cell_angle_beta 90.00
_cell_angle_gamma 90.00
loop_
_symmetry_equiv_pos_as_xyz
'x,y,z'
'-x,-y,-z'
'-x+1/4,-y+1/4,z'
'x+1/4,y+1/4,-z'
'x,-y+1/4,-z+1/4'
'-x,y+1/4,z+1/4'
'-x+1/4,y,-z+1/4'
'x+1/4,-y,z+1/4'
'x,y+1/2,z+1/2'
'-x,-y+1/2,-z+1/2'
'-x+1/4,-y+3/4,z+1/2'
'x+1/4,y+3/4,-z+1/2'
'x,-y+3/4,-z+3/4'
'-x,y+3/4,z+3/4'
'-x+1/4,y+1/2,-z+3/4'
'x+1/4,-y+1/2,z+3/4'
'x+1/2,y,z+1/2'
'-x+1/2,-y,-z+1/2'
'-x+3/4,-y+1/4,z+1/2'
'x+3/4,y+1/4,-z+1/2'
'x+1/2,-y+1/4,-z+3/4'
'-x+1/2,y+1/4,z+3/4'
'-x+3/4,y,-z+3/4'
'x+3/4,-y,z+3/4'
'x+1/2,y+1/2,z'
'-x+1/2,-y+1/2,-z'
'-x+3/4,-y+3/4,z'
'x+3/4,y+3/4,-z'
'x+1/2,-y+3/4,-z+1/4'
'-x+1/2,y+3/4,z+1/4'
'-x+3/4,y+1/2,-z+1/4'
'x+3/4,-y+1/2,z+1/4'
loop_
_atom_site_label
_atom_site_type_symbol
_atom_site_fract_x
_atom_site_fract_y
_atom_site_fract_z
Rb1 Rb 0.125 0.125 0.297
Li1 Li 0.125 0.125 0.125
Ni1 Ni 0.125 0.125 0.625
H1 H 0.089 0.338 0.825
```